## Cs2HfNb3O12 (PBE)

Data for an optimized crystal structure of Cs2HfNb3O12.

Values from the calculation:
E_form (uncorrected)   -2.2810 eV/atom
DOS at the Fermi energy   0.74 states/eV per atom

a b c (Å): 7.6285 7.6285 7.6285
angles (deg): 59.90 59.90 59.90
Each line ends with the local moment (μB).
Fractional positions:
O: 0.9346 0.3214 0.9346  0.26
O: 0.3214 0.9346 0.9346  0.26
O: 0.0631 0.6907 0.6907  0.21
O: 0.3093 0.9369 0.3093  0.21
O: 0.3093 0.3093 0.9369  0.21
O: 0.0654 0.0654 0.6786  0.26
O: 0.9346 0.9346 0.3214  0.26
O: 0.9369 0.3093 0.3093  0.21
O: 0.6907 0.6907 0.0631  0.21
O: 0.6907 0.0631 0.6907  0.21
O: 0.6786 0.0654 0.0654  0.26
O: 0.0654 0.6786 0.0654  0.26
Cs: 0.6238 0.6238 0.6238  0.00
Cs: 0.3762 0.3762 0.3762  0.00
Nb: 0.5000 0.0000 0.0000  -0.10
Nb: 0.0000 0.0000 0.5000  -0.10
Nb: 0.0000 0.5000 0.0000  -0.10
Hf: 0.0000 0.0000 0.0000  -0.04